# 1
A geometry-optimized Cd2FeW structure. Source: Alexandria via LeMat-Bulk, functional PBE-GGA.

Computed properties:
Energy   -5.1555 eV/atom
M_tot   0.493 μB/atom
Formation energy from the elements   0.656 eV/atom

Cell lengths 2.988, 4.666, 4.890 Å; angles 90.00, 90.00, 90.00 degrees
Each line ends with the local moment (μB).
Atoms (fractional coordinates):
1 Cd 0.000 0.000 0.000  -0.04
2 Cd 0.500 0.500 0.000  0.00
3 Fe 0.500 0.000 0.500  2.42
4 W 0.000 0.500 0.500  -0.29

# 2
A geometry-optimized Zn2CdFeW structure. Source: Alexandria via LeMat-Bulk, functional PBE-GGA.

Computed properties:
Energy   -3.1433 eV/atom
M_tot   0.613 μB/atom
Formation energy from the elements   1.832 eV/atom

Cell lengths 4.631, 5.148, 4.631 Å; angles 90.00, 90.00, 90.00 degrees
Each line ends with the local moment (μB).
Atoms (fractional coordinates):
1 Zn 0.000 0.000 0.500  0.00
2 Zn 0.500 0.000 0.000  0.01
3 Fe 0.500 0.500 0.500  3.26
4 W 0.000 0.500 0.000  -0.22
5 Cd 0.000 0.000 0.000  0.01

# 3
A geometry-optimized YCdFe2 structure. Source: Alexandria via LeMat-Bulk, functional PBE-GGA.

Computed properties:
Energy   -5.9218 eV/atom
M_tot   0.936 μB/atom
Formation energy from the elements   0.154 eV/atom

Cell lengths 3.597, 4.152, 5.424 Å; angles 67.52, 90.00, 90.00 degrees
Each line ends with the local moment (μB).
Atoms (fractional coordinates):
1 Cd 0.500 0.771 0.833  -0.03
2 Fe 0.000 0.193 0.991  2.12
3 Fe 0.500 0.057 0.259  1.82
4 Y 0.000 0.479 0.416  -0.14

# 4
A geometry-optimized YCd2Fe structure. Source: Alexandria via LeMat-Bulk, functional PBE-GGA.

Computed properties:
Energy   -3.8941 eV/atom
M_tot   0.636 μB/atom
Formation energy from the elements   0.295 eV/atom

Cell lengths 10.067, 10.067, 10.067 Å; angles 18.06, 18.06, 18.06 degrees
Each line ends with the local moment (μB).
Atoms (fractional coordinates):
1 Cd 0.990 0.990 0.990  -0.04
2 Cd 0.510 0.510 0.510  -0.04
3 Fe 0.250 0.250 0.250  2.81
4 Y 0.750 0.750 0.750  -0.01

# 5
A geometry-optimized YCd2Fe2 structure. Source: Alexandria via LeMat-Bulk, functional PBE-GGA.

Computed properties:
Energy   -4.9218 eV/atom
M_tot   0.726 μB/atom
Formation energy from the elements   0.122 eV/atom

Cell lengths 4.161, 4.161, 6.402 Å; angles 71.04, 71.04, 90.00 degrees
Each line ends with the local moment (μB).
Atoms (fractional coordinates):
1 Y 0.000 0.000 0.000  -0.30
2 Fe 0.408 0.408 0.185  2.13
3 Fe 0.592 0.592 0.815  2.13
4 Cd 0.750 0.250 0.500  -0.03
5 Cd 0.250 0.750 0.500  -0.03

# 6
A geometry-optimized Y2CdFe2 structure. Source: Alexandria via LeMat-Bulk, functional PBE-GGA.

Computed properties:
Energy   -6.0869 eV/atom
M_tot   0.771 μB/atom
Formation energy from the elements   0.067 eV/atom

Cell lengths 3.421, 3.421, 9.586 Å; angles 79.72, 79.72, 90.00 degrees
Each line ends with the local moment (μB).
Atoms (fractional coordinates):
1 Y 0.377 0.377 0.247  -0.16
2 Y 0.623 0.623 0.753  -0.16
3 Fe 0.750 0.250 0.500  2.15
4 Fe 0.250 0.750 0.500  2.15
5 Cd 0.000 0.000 0.000  0.01